Compound: LaBe2Ni
Source: Alexandria via LeMat-Bulk
Functional: PBE-GGA
Structure: relaxed

Properties
Density of states at the Fermi level   3.945 states/eV/cell
Raw total energy   -4.233 eV/atom
ΔE_f   0.3075 eV/atom
M_tot   0.00 μB per formula unit

Cell lengths 4.4877, 4.4877, 4.4877 Å; angles 60.00, 60.00, 60.00 degrees
Closest atoms and distances in Å follow each position.
Fractional positions:
Be1 0.7500 0.7500 0.7500  4 La 2.75, 4 Ni 2.75
Be2 0.2500 0.2500 0.2500  4 La 2.75, 4 Ni 2.75
La1 0.5000 0.5000 0.5000  8 Be 2.75
Ni1 0.0000 0.0000 0.0000  8 Be 2.75